<1>
Here is a relaxed structure of LaBe2Ag from Alexandria. Energies are from PBE.

Cell: 3.145 3.149 6.947 Å, 90.00 90.00 90.00°
Fractional positions:
Be (0.000, 0.000, 0.924)
Be (0.000, 0.000, 0.576)
Ag (0.500, 0.500, 0.750)
La (0.500, 0.500, 0.250)

crystal system: tetragonal
SG: P4/mmm (123)
total magnetic moment: 0.00 μB/cell

<2>
Here is a relaxed structure of LaBe2Ag from Alexandria. Energies are from PBE.

Cell: 3.786 3.446 5.918 Å, 73.17 90.00 90.00°
Fractional positions:
Be (0.000, 0.189, 0.998)
Be (0.500, 0.101, 0.173)
Ag (0.500, 0.745, 0.883)
La (0.000, 0.465, 0.446)

crystal system: monoclinic
SG: Pm (6)
total magnetic moment: 0.00 μB/cell

The calculated energies rank the structures as follows, beginning with the most stable: <2>, <1>.

<1>
Here is a relaxed structure of LaBe2Ag2 from Alexandria. Energies are from PBE.

Cell: 4.340 4.340 5.792 Å, 68.00 68.00 90.00°
Fractional positions:
Be (0.750, 0.250, 0.500)
Be (0.250, 0.750, 0.500)
Ag (0.356, 0.356, 0.287)
Ag (0.644, 0.644, 0.713)
La (0.000, 0.000, 0.000)

crystal system: tetragonal
SG: I4/mmm (139)
total magnetic moment: 0.00 μB/cell

<2>
Here is a relaxed structure of LaBe2Ag2 from Alexandria. Energies are from PBE.

Cell: 7.869 7.869 2.847 Å, 90.00 90.00 90.00°
Fractional positions:
Be (0.165, 0.665, 0.500)
Be (0.665, 0.835, 0.500)
Be (0.835, 0.335, 0.500)
Be (0.335, 0.165, 0.500)
Ag (0.375, 0.875, 0.000)
Ag (0.875, 0.625, 0.000)
Ag (0.625, 0.125, 0.000)
Ag (0.125, 0.375, 0.000)
La (0.000, 0.000, 0.000)
La (0.500, 0.500, 0.000)

crystal system: tetragonal
SG: P4/mbm (127)
total magnetic moment: 0.00 μB/cell

The calculated energies rank the structures as follows, beginning with the most stable: <1>, <2>.